1.
PBE La2PrCu2Si4Pd2, relaxed; crystal system = orthorhombic; space-group type = Immm (71); magnetic moment = 0.00 μB/atom; VASP energy = -5.68 eV per atom
1.0
-2.095 2.144 12.101
2.095 -2.144 12.101
2.095 2.144 -12.101
Pr Si Cu Pd La
1 4 2 2 2
Cartesian
0.000 0.000 0.000 Pr
0.000 2.144 4.732 Si
0.000 0.000 10.899 Si
0.000 0.000 13.302 Si
2.095 0.000 7.369 Si
2.095 0.000 9.769 Cu
0.000 2.144 2.332 Cu
0.000 0.000 18.177 Pd
0.000 0.000 6.025 Pd
2.095 0.000 3.542 La
0.000 2.144 8.559 La


2.
PBE LaCuSb2Pd, relaxed; crystal system = tetragonal; space-group type = P4/nmm (129); magnetic moment = 0.00 μB/atom; VASP energy = -5.12 eV per atom
1.0
-1.244 -0.514 4.468
-2.780 -3.556 -1.183
7.865 -6.624 1.427
La Pd Sb Cu
2 2 4 2
Cartesian
4.419 -6.671 0.463 La
1.434 -1.988 2.607 La
3.933 -3.312 0.714 Pd
1.921 -5.347 2.356 Pd
-2.012 -2.035 1.642 Sb
0.000 0.000 0.000 Sb
4.343 -4.439 3.135 Sb
1.510 -4.220 -0.065 Sb
-0.400 -2.612 -0.412 Cu
6.253 -6.047 3.481 Cu